SmSiPd | the Open Quantum Materials Database | PBE | optimized geometry; crystal system = cubic; total energy = -17.155 eV/cell
1.0
2.847 -2.580 2.462
-0.809 -0.694 4.437
-1.333 -4.113 1.460
Pd Sm Si
1 1 1
direct
0.000 0.000 0.000 Pd
0.750 0.750 0.750 Sm
0.250 0.250 0.250 Si

=====

Sm6Si2Pd | the Open Quantum Materials Database | PBE | optimized geometry; crystal system = hexagonal; total energy = -48.843 eV/cell
1.0
8.011 0.000 0.000
-4.005 6.937 0.000
0.000 0.000 4.270
Si Sm Pd
2 6 1
direct
0.667 0.333 0.000 Si
0.333 0.667 0.000 Si
0.000 0.586 0.500 Sm
0.261 0.000 0.000 Sm
0.739 0.739 0.000 Sm
0.586 0.000 0.500 Sm
0.000 0.261 0.000 Sm
0.414 0.414 0.500 Sm
0.000 0.000 0.500 Pd

=====

SmSiPd | the Open Quantum Materials Database | PBE | optimized geometry; crystal system = cubic; total energy = -15.238 eV/cell
1.0
0.000 3.313 3.313
3.313 0.000 3.313
3.313 3.313 0.000
Sm Si Pd
1 1 1
direct
0.000 0.000 0.000 Sm
0.750 0.750 0.750 Si
0.250 0.250 0.250 Pd

=====

SmSi3Pd | the Open Quantum Materials Database | PBE | optimized geometry; crystal system = tetragonal; total energy = -29.409 eV/cell
1.0
4.212 -3.755 0.690
-0.959 -4.068 3.853
-2.840 2.154 -4.429
Sm Pd Si
1 1 3
direct
0.989 0.989 0.000 Sm
0.346 0.346 0.000 Pd
0.594 0.594 0.000 Si
0.728 0.228 0.500 Si
0.228 0.728 0.500 Si

=====

TbSmSi2Pd | the Open Quantum Materials Database | PBE | optimized geometry; crystal system = monoclinic; distance to the lowest polymorph of the same formula = 0.00 eV/f.u.
1.0
5.307 -2.150 0.000
5.307 2.150 0.000
-4.796 0.000 9.064
Tb Sm Pd Si
2 2 2 4
direct
0.005 0.005 0.326 Tb
0.995 0.995 0.674 Tb
0.188 0.188 0.107 Sm
0.812 0.812 0.893 Sm
0.272 0.272 0.638 Pd
0.728 0.728 0.362 Pd
0.513 0.513 0.884 Si
0.368 0.368 0.438 Si
0.487 0.487 0.116 Si
0.632 0.632 0.562 Si

=====

TbSmSi2Pd | the Open Quantum Materials Database | PBE | optimized geometry; crystal system = monoclinic; distance to the lowest polymorph of the same formula = 0.03 eV/f.u.
1.0
5.278 -2.156 0.000
5.278 2.156 0.000
-4.934 0.000 9.074
Si Sm Tb Pd
4 2 2 2
direct
0.483 0.483 0.611 Si
0.365 0.365 0.937 Si
0.635 0.635 0.063 Si
0.517 0.517 0.389 Si
0.996 0.996 0.177 Sm
0.004 0.004 0.823 Sm
0.813 0.813 0.393 Tb
0.187 0.187 0.607 Tb
0.274 0.274 0.145 Pd
0.726 0.726 0.855 Pd

=====

SmSi2TcPd | the Open Quantum Materials Database | PBE | optimized geometry; crystal system = tetragonal; total energy = -35.182 eV/cell
1.0
5.149 -2.682 -0.458
3.094 -1.049 4.821
-5.457 -0.747 -1.893
Tc Si Sm Pd
1 2 1 1
direct
0.250 0.750 0.500 Tc
0.376 0.376 0.000 Si
0.624 0.624 0.000 Si
0.000 0.000 0.000 Sm
0.750 0.250 0.500 Pd

=====

SmY2Si4Pd4 | the Open Quantum Materials Database | PBE | optimized geometry; crystal system = orthorhombic; total energy = -70.591 eV/cell
1.0
-2.068 3.502 6.872
2.068 -3.502 6.872
2.068 3.502 -6.872
Pd Si Y Sm
4 4 2 1
direct
0.026 0.324 0.701 Pd
0.377 0.676 0.701 Pd
0.974 0.676 0.299 Pd
0.623 0.324 0.299 Pd
0.220 0.220 0.000 Si
0.320 0.500 0.820 Si
0.680 0.500 0.180 Si
0.780 0.780 0.000 Si
0.625 0.125 0.500 Y
0.375 0.875 0.500 Y
0.000 0.000 0.000 Sm

=====

Sm3Zn2Si4Pd2 | the Open Quantum Materials Database | PBE | optimized geometry; crystal system = orthorhombic; distance to the lowest polymorph of the same formula = 0.06 eV/f.u.
1.0
-2.029 2.102 12.540
2.029 -2.102 12.540
2.029 2.102 -12.540
Pd Zn Sm Si
2 2 3 4
direct
0.405 0.405 0.000 Pd
0.595 0.595 0.000 Pd
0.250 0.750 0.500 Zn
0.750 0.250 0.500 Zn
0.146 0.146 0.000 Sm
0.854 0.854 0.000 Sm
0.500 0.000 0.500 Sm
0.690 0.690 0.000 Si
0.047 0.547 0.500 Si
0.953 0.453 0.500 Si
0.310 0.310 0.000 Si

=====

Sm3Zn2Si4Pd2 | the Open Quantum Materials Database | PBE | optimized geometry; crystal system = orthorhombic; distance to the lowest polymorph of the same formula = 0.00 eV/f.u.
1.0
-2.112 0.144 12.417
-0.669 5.713 11.206
-1.446 -2.325 -12.295
Pd Si Sm Zn
2 4 3 2
direct
0.250 0.250 0.000 Pd
0.750 0.750 0.000 Pd
0.048 0.048 0.000 Si
0.195 0.695 0.500 Si
0.952 0.952 0.000 Si
0.805 0.305 0.500 Si
0.353 0.853 0.500 Sm
0.647 0.147 0.500 Sm
0.500 0.500 0.000 Sm
0.903 0.403 0.500 Zn
0.097 0.597 0.500 Zn

=====

SiSnPd2 | the Open Quantum Materials Database | PBE | optimized geometry; crystal system = orthorhombic; total energy = -43.730 eV/cell
1.0
-1.347 2.807 1.658
-5.790 -1.911 -1.470
-0.271 -3.276 5.327
Pd Sn Si
4 2 2
direct
0.000 0.792 0.810 Pd
0.500 0.778 0.190 Pd
0.500 0.208 0.310 Pd
0.000 0.222 0.690 Pd
0.500 0.553 0.578 Sn
0.000 0.447 0.078 Sn
0.000 0.935 0.421 Si
0.500 0.065 0.921 Si

=====

SiSnPd | the Open Quantum Materials Database | PBE | optimized geometry; crystal system = cubic; total energy = -15.180 eV/cell
1.0
0.000 3.105 3.105
3.105 0.000 3.105
3.105 3.105 0.000
Sn Pd Si
1 1 1
direct
0.750 0.750 0.750 Sn
0.000 0.000 0.000 Pd
0.250 0.250 0.250 Si

=====

SiSnPd2 | the Open Quantum Materials Database | PBE | optimized geometry; crystal system = monoclinic; total energy = -43.648 eV/cell
1.0
-1.785 -1.899 5.276
0.212 -3.502 -1.189
6.164 -0.289 1.953
Pd Sn Si
4 2 2
direct
0.486 0.750 0.829 Pd
0.991 0.250 0.262 Pd
0.009 0.750 0.738 Pd
0.514 0.250 0.171 Pd
0.299 0.750 0.413 Sn
0.701 0.250 0.587 Sn
0.801 0.750 0.076 Si
0.199 0.250 0.924 Si

=====

Si2Sn2Pd3 | the Open Quantum Materials Database | PBE | optimized geometry; crystal system = trigonal; total energy = -35.668 eV/cell
1.0
2.240 1.293 7.364
-2.240 1.293 7.364
0.000 -2.587 7.364
Sn Pd Si
2 3 2
direct
0.496 0.496 0.496 Sn
0.007 0.007 0.007 Sn
0.375 0.375 0.375 Pd
0.622 0.622 0.622 Pd
0.876 0.876 0.876 Pd
0.247 0.247 0.247 Si
0.753 0.753 0.753 Si

=====

SiSnPd2 | the Open Quantum Materials Database | PBE | optimized geometry; crystal system = orthorhombic; total energy = -43.255 eV/cell
1.0
-0.154 2.650 -2.569
-5.799 -2.196 -1.919
-2.626 3.575 3.846
Si Pd Sn
2 4 2
direct
0.500 0.852 0.697 Si
0.500 0.148 0.197 Si
0.500 0.408 0.484 Pd
0.000 0.953 0.996 Pd
0.500 0.592 0.985 Pd
0.000 0.047 0.496 Pd
0.000 0.663 0.323 Sn
0.000 0.337 0.823 Sn

=====

Sr2SiSnPd4 | the Open Quantum Materials Database | PBE | optimized geometry; crystal system = orthorhombic; total energy = -31.685 eV/cell
1.0
-3.979 1.194 -10.837
-1.691 -1.072 -11.432
-4.394 -4.725 1.094
Pd Sn Sr Si
4 1 2 1
direct
0.685 0.685 0.207 Pd
0.438 0.438 0.196 Pd
0.685 0.685 0.793 Pd
0.438 0.438 0.804 Pd
0.140 0.140 0.500 Sn
0.519 0.519 0.500 Sr
0.353 0.353 0.500 Sr
0.741 0.741 0.500 Si

=====

SrSiSn2Pd | the Open Quantum Materials Database | PBE | optimized geometry; crystal system = tetragonal; total energy = -22.967 eV/cell
1.0
-2.341 2.341 5.451
2.341 -2.341 5.451
2.341 2.341 -5.451
Sr Sn Pd Si
1 2 1 1
direct
0.998 0.998 0.000 Sr
0.254 0.754 0.500 Sn
0.754 0.254 0.500 Sn
0.625 0.625 0.000 Pd
0.409 0.409 0.000 Si

=====

Zr2SiSnPd2 | the Open Quantum Materials Database | PBE | optimized geometry; crystal system = monoclinic; total energy = -165.610 eV/cell
1.0
10.814 0.000 0.000
0.000 4.415 0.000
-3.612 0.000 10.202
Pd Zr Sn Si
8 8 4 4
direct
0.252 0.000 0.741 Pd
0.635 0.500 0.884 Pd
0.373 0.500 0.131 Pd
0.875 0.500 0.625 Pd
0.130 0.500 0.372 Pd
0.490 0.000 0.491 Pd
0.741 0.000 0.240 Pd
0.003 0.000 0.010 Pd
0.743 0.000 0.493 Zr
0.003 0.000 0.250 Zr
0.251 0.000 0.007 Zr
0.621 0.500 0.125 Zr
0.128 0.500 0.619 Zr
0.880 0.500 0.886 Zr
0.504 0.000 0.751 Zr
0.371 0.500 0.372 Zr
0.001 0.000 0.752 Sn
0.874 0.500 0.373 Sn
0.624 0.500 0.625 Sn
0.375 0.500 0.875 Sn
0.751 0.000 0.002 Si
0.498 0.000 0.249 Si
0.126 0.500 0.127 Si
0.251 0.000 0.498 Si

=====

SrSi4Pd6 | the Open Quantum Materials Database | PBE | optimized geometry; crystal system = hexagonal; total energy = -62.344 eV/cell
1.0
7.165 0.000 0.000
-3.583 6.205 0.000
0.000 0.000 3.943
Pd Si Sr
6 4 1
direct
0.932 0.466 0.000 Pd
0.534 0.466 0.000 Pd
0.201 0.799 0.500 Pd
0.534 0.068 0.000 Pd
0.599 0.799 0.500 Pd
0.201 0.401 0.500 Pd
0.802 0.603 0.500 Si
0.397 0.198 0.500 Si
0.333 0.667 0.000 Si
0.802 0.198 0.500 Si
0.000 0.000 0.000 Sr

=====

SrSiPd | the Open Quantum Materials Database | PBE | optimized geometry; crystal system = cubic; total energy = -10.782 eV/cell
1.0
0.914 -4.031 2.606
-2.348 -4.159 -1.030
2.414 -3.729 -2.034
Sr Si Pd
1 1 1
direct
0.000 0.000 0.000 Sr
0.750 0.750 0.750 Si
0.250 0.250 0.250 Pd

=====

SrSiPd | the Open Quantum Materials Database | PBE | optimized geometry; crystal system = cubic; total energy = -12.829 eV/cell
1.0
3.633 -2.605 1.451
-0.763 -4.136 2.096
1.065 -3.997 -2.231
Sr Pd Si
1 1 1
direct
0.750 0.750 0.750 Sr
0.000 0.000 0.000 Pd
0.250 0.250 0.250 Si

=====

Sr2SiPd | the Open Quantum Materials Database | PBE | optimized geometry; crystal system = orthorhombic; total energy = -16.223 eV/cell
1.0
4.406 0.000 0.000
0.000 2.416 5.361
0.000 -2.416 5.361
Si Pd Sr
1 1 2
direct
0.500 0.049 0.049 Si
0.000 0.951 0.951 Pd
0.000 0.645 0.645 Sr
0.500 0.356 0.356 Sr

=====

SrSi2Pd5 | the Open Quantum Materials Database | PBE | optimized geometry; crystal system = orthorhombic; total energy = -44.267 eV/cell
1.0
4.368 -4.632 -1.085
5.465 2.603 2.251
-5.844 -2.200 1.648
Sr Pd Si
1 5 2
direct
0.000 0.000 0.000 Sr
0.500 0.000 0.500 Pd
0.148 0.344 0.803 Pd
0.459 0.656 0.803 Pd
0.852 0.656 0.197 Pd
0.541 0.344 0.197 Pd
0.736 0.236 0.500 Si
0.264 0.764 0.500 Si

=====

Sr2Si2Pd3 | the Open Quantum Materials Database | PBE | optimized geometry; crystal system = trigonal; total energy = -33.937 eV/cell
1.0
3.857 9.502 0.420
2.989 8.716 4.519
6.631 7.313 2.805
Si Pd Sr
2 3 2
direct
0.004 0.004 0.004 Si
0.506 0.506 0.506 Si
0.652 0.652 0.652 Pd
0.356 0.356 0.356 Pd
0.851 0.851 0.851 Pd
0.756 0.756 0.756 Sr
0.250 0.250 0.250 Sr

=====

SrSi2Pd2 | the Open Quantum Materials Database | PBE | optimized geometry; crystal system = tetragonal; total energy = -26.041 eV/cell
1.0
-2.152 2.152 5.177
2.152 -2.152 5.177
2.152 2.152 -5.177
Sr Pd Si
1 2 2
direct
0.000 0.000 0.000 Sr
0.638 0.638 0.000 Pd
0.362 0.362 0.000 Pd
0.250 0.750 0.500 Si
0.750 0.250 0.500 Si